V2FePb | Alexandria via LeMat-Bulk | PBE | relaxed; final energy = -56.32 eV for the cell shown; formation enthalpy at 0 K = 0.56 eV/atom; crystal system = tetragonal
1.0
-3.5072 3.5072 2.6742
3.5072 -3.5072 2.6742
3.5072 3.5072 -2.6742
V Fe Pb
4 2 2
direct
0.0543 0.6250 0.9293 V
0.3750 0.3043 0.4293 V
0.6957 0.1250 0.0707 V
0.8750 0.9457 0.5707 V
0.0000 0.0000 0.0000 Fe
0.7500 0.2500 0.5000 Fe
0.2500 0.7500 0.5000 Pb
0.5000 0.5000 0.0000 Pb